Entry 1:
The following is a PBE calculation of La3Te3H2 after structural relaxation, from Alexandria.

Cell lengths 6.2534, 6.2534, 16.5656 Å; angles 90.00, 90.00, 140.49 degrees
Last column: nearest neighbours and their distance in Å.
Atoms (fractional coordinates):
La 0.1354 0.8646 0.7500  7 Te 3.27-3.39, 2 H 3.59
La 0.1451 0.8549 0.0592  3 H 2.35-2.39
La 0.1451 0.8549 0.4408  3 H 2.35-2.39
La 0.8549 0.1451 0.5592  3 H 2.35-2.39
La 0.8549 0.1451 0.9408  3 H 2.35-2.39
La 0.8646 0.1354 0.2500  7 Te 3.27-3.39, 2 H 3.59
Te 0.1526 0.8474 0.2500  5 La 3.16-3.39
Te 0.4293 0.5707 0.1021  3 H 3.22-3.24, 7 La 3.32-3.52
Te 0.4293 0.5707 0.3979  3 H 3.22-3.24, 7 La 3.32-3.52
Te 0.5707 0.4293 0.6021  3 H 3.22-3.24, 7 La 3.32-3.52
Te 0.5707 0.4293 0.8979  3 H 3.22-3.24, 7 La 3.32-3.52
Te 0.8474 0.1526 0.7500  5 La 3.16-3.39
H 0.2685 0.7315 0.5550  3 La 2.35-2.39
H 0.2685 0.7315 0.9450  3 La 2.35-2.39
H 0.7315 0.2685 0.0550  3 La 2.35-2.39
H 0.7315 0.2685 0.4450  3 La 2.35-2.39

DFT total energy	-81.965	eV/cell
Fermi-level density of states	8.379	states/eV per cell
space group	Cmcm, No. 63

Entry 2:
The following is a PBE calculation of Ta2CdPt9 after structural relaxation, from Alexandria.

Cell lengths 4.0169, 4.0169, 12.0172 Å; angles 90.00, 90.00, 90.00 degrees
Last column: nearest neighbours and their distance in Å.
Atoms (fractional coordinates):
Ta 0.0000 0.0000 0.1723  12 Pt 2.71-2.88
Ta 0.0000 0.0000 0.8277  12 Pt 2.71-2.88
Cd 0.0000 0.0000 0.5000  12 Pt 2.84-2.92
Pt 0.0000 0.5000 0.0000  8 Pt 2.80-2.84, 4 Ta 2.88
Pt 0.0000 0.5000 0.3235  2 Ta 2.71, 8 Pt 2.79-2.92, 2 Cd 2.92
Pt 0.0000 0.5000 0.6765  2 Ta 2.71, 8 Pt 2.79-2.92, 2 Cd 2.92
Pt 0.5000 0.0000 0.0000  8 Pt 2.80-2.84, 4 Ta 2.88
Pt 0.5000 0.0000 0.3235  2 Ta 2.71, 8 Pt 2.79-2.92, 2 Cd 2.92
Pt 0.5000 0.0000 0.6765  2 Ta 2.71, 8 Pt 2.79-2.92, 2 Cd 2.92
Pt 0.5000 0.5000 0.1620  8 Pt 2.79-2.80, 4 Ta 2.84
Pt 0.5000 0.5000 0.5000  4 Cd 2.84, 8 Pt 2.92
Pt 0.5000 0.5000 0.8380  8 Pt 2.79-2.80, 4 Ta 2.84

DFT total energy	-86.244	eV/cell
Fermi-level density of states	1.233	states/eV per cell
space group	P4/mmm, No. 123
DFT formation energy	-0.605	eV/atom

Entry 3:
The following is a PBE calculation of Dy7Ho2Sc after structural relaxation, from Alexandria.

Cell lengths 9.6801, 9.6801, 4.9828 Å; angles 90.00, 90.00, 126.75 degrees
Last column: nearest neighbours and their distance in Å.
Atoms (fractional coordinates):
Dy 0.0000 0.0000 0.0000  4 Dy 3.30, 2 Ho 3.48
Dy 0.2173 0.4237 0.0000  4 Dy 3.12-3.31, 1 Ho 3.26, 2 Sc 3.44
Dy 0.3093 0.6907 0.5000  2 Ho 3.12, 1 Sc 3.30, 4 Dy 3.31
Dy 0.4237 0.2173 0.0000  4 Dy 3.12-3.31, 1 Ho 3.26, 2 Sc 3.44
Dy 0.5763 0.7827 0.0000  4 Dy 3.12-3.31, 1 Ho 3.26, 2 Sc 3.44
Dy 0.6907 0.3093 0.5000  2 Ho 3.12, 1 Sc 3.30, 4 Dy 3.31
Dy 0.7827 0.5763 0.0000  4 Dy 3.12-3.31, 1 Ho 3.26, 2 Sc 3.44
Ho 0.2012 0.7988 0.0000  5 Dy 3.12-3.48
Ho 0.7988 0.2012 0.0000  5 Dy 3.12-3.48
Sc 0.5000 0.5000 0.5000  10 Dy 3.30-3.44

DFT total energy	-40.688	eV/cell
relative energy among the computed polymorphs	521	meV/atom
Fermi-level density of states	11.744	states/eV per cell
space group	Cmmm, No. 65
DFT formation energy	0.701	eV/atom

Entry 4:
The following is a PBE calculation of Mg3AlPt4 after structural relaxation, from Alexandria.

Cell lengths 2.9768, 2.9768, 14.0789 Å; angles 90.00, 90.00, 90.00 degrees
Last column: nearest neighbours and their distance in Å.
Atoms (fractional coordinates):
Mg 0.0000 0.0000 0.0000  8 Pt 2.77, 4 Mg 2.98
Mg 0.0000 0.0000 0.2534  8 Pt 2.75-2.84, 4 Mg 2.98
Mg 0.0000 0.0000 0.7466  8 Pt 2.75-2.84, 4 Mg 2.98
Al 0.0000 0.0000 0.5000  8 Pt 2.62
Pt 0.5000 0.5000 0.1275  8 Mg 2.75-2.77, 4 Pt 2.98
Pt 0.5000 0.5000 0.3888  4 Al 2.62, 4 Mg 2.84
Pt 0.5000 0.5000 0.6112  4 Al 2.62, 4 Mg 2.84
Pt 0.5000 0.5000 0.8725  8 Mg 2.75-2.77, 4 Pt 2.98

DFT total energy	-40.143	eV/cell
Fermi-level density of states	2.280	states/eV per cell
space group	P4/mmm, No. 123
DFT formation energy	-0.932	eV/atom

Entry 5:
The following is a PBE calculation of Ca3ScIr after structural relaxation, from Alexandria.

Cell lengths 5.4858, 5.4858, 5.4858 Å; angles 90.00, 90.00, 90.00 degrees
Last column: nearest neighbours and their distance in Å.
Atoms (fractional coordinates):
Ca 0.0000 0.0000 0.5000  2 Ir 2.74
Ca 0.0000 0.5000 0.0000  2 Ir 2.74
Ca 0.5000 0.0000 0.0000  2 Ir 2.74
Sc 0.5000 0.5000 0.5000  12 Ca 3.88
Ir 0.0000 0.0000 0.0000  6 Ca 2.74

DFT total energy	-20.684	eV/cell
relative energy among the computed polymorphs	0	meV/atom
Fermi-level density of states	4.668	states/eV per cell
space group	Pm-3m, No. 221
DFT formation energy	0.103	eV/atom

Entry 6:
The following is a PBE calculation of NdAgSn after structural relaxation, from Alexandria.

Cell lengths 6.3474, 6.3474, 8.9923 Å; angles 90.00, 90.00, 88.24 degrees
Last column: nearest neighbours and their distance in Å.
Atoms (fractional coordinates):
Nd 0.2160 0.2160 0.0000  4 Sn 3.26-3.32, 4 Ag 3.29
Nd 0.2840 0.2840 0.5000  4 Sn 3.26-3.32, 4 Ag 3.29
Nd 0.7160 0.7160 0.5000  4 Sn 3.26-3.32, 4 Ag 3.29
Nd 0.7840 0.7840 0.0000  4 Sn 3.26-3.32, 4 Ag 3.29
Ag 0.0710 0.9290 0.7153  3 Sn 2.68-2.92
Ag 0.4290 0.5710 0.2153  3 Sn 2.68-2.92
Ag 0.5710 0.4290 0.7847  3 Sn 2.68-2.92
Ag 0.9290 0.0710 0.2847  3 Sn 2.68-2.92
Sn 0.2085 0.7915 0.4201  3 Ag 2.68-2.92
Sn 0.2915 0.7085 0.9201  3 Ag 2.68-2.92
Sn 0.7085 0.2915 0.0799  3 Ag 2.68-2.92
Sn 0.7915 0.2085 0.5799  3 Ag 2.68-2.92

DFT total energy	-49.203	eV/cell
Fermi-level density of states	5.877	states/eV per cell
space group	Cmce, No. 64
DFT formation energy	-0.226	eV/atom

Q: Which of these has the highest DFT total energy?
A: Ca3ScIr

Q: Look up the Fermi-level density of states of the first one.
A: 8.379 states/eV per cell

Q: Number 1 is which compound?
A: La3Te3H2

Q: The lowest Fermi-level density of states belongs to which entry?
A: Ta2CdPt9